VASP calculation (GGA-PBE) on Tl2In4Pb after structural relaxation.

Cell lengths 3.2533, 5.5836, 11.7870 Å; angles 103.70, 90.00, 90.00 degrees
With the nearest neighbours (Å) after each atom.
Sites, in units of the cell vectors:
In 0.5000 0.3654 0.7308  6 In 3.25-3.50, 3 Tl 3.30-3.53, 2 Pb 3.49
Pb 0.0000 0.5000 0.0000  2 Pb 3.25, 8 In 3.29-3.49
In 0.0000 0.0759 0.1517  7 In 3.25-3.50, 2 Pb 3.29, 2 Tl 3.50
In 0.5000 0.6346 0.2692  6 In 3.25-3.50, 3 Tl 3.30-3.53, 2 Pb 3.49
Tl 0.5000 0.7888 0.5776  4 Tl 3.25-3.31, 5 In 3.30-3.53
Tl 0.5000 0.2112 0.4224  4 Tl 3.25-3.31, 5 In 3.30-3.53
In 0.0000 0.9241 0.8483  7 In 3.25-3.50, 2 Pb 3.29, 2 Tl 3.50

Computed properties:
ΔE_f (kJ/mol of formula units): 35
Total energy (eV/f.u.): -19.03
D(E_F) (states/eV/atom): 0.46
Distance to the lowest polymorph of the same formula (kJ per mole of atoms): 0.9